LaNdAu2 GGA-PBE optimized geometry; SG = No. 26; M_tot = 0.002 μB/atom; energy of formation = -822 meV per atom
1.0
4.8439 0.0000 0.0000
0.0000 5.9160 0.0000
0.0000 0.0000 7.4917
La Nd Au
2 2 4
Cartesian
0.0000 0.6457 0.0000 La
0.0000 5.2703 3.7459 La
2.4220 2.3214 4.7338 Nd
2.4220 3.5945 0.9880 Nd
0.0000 2.3678 2.6885 Au
0.0000 3.5482 6.4344 Au
2.4220 0.5998 2.0595 Au
2.4220 5.3162 5.8053 Au

---

TbCo2W2 GGA-PBE optimized geometry; SG = No. 139; M_tot = 0.001 μB/atom; energy of formation = 316 meV per atom
1.0
4.2371 0.0000 0.0000
0.0000 4.2371 0.0000
0.0000 0.0000 9.7254
Tb Co W
2 4 4
Cartesian
0.0000 0.0000 0.0000 Tb
2.1185 2.1185 4.8627 Tb
0.0000 2.1185 2.4313 Co
0.0000 2.1185 7.2940 Co
2.1185 0.0000 2.4313 Co
2.1185 0.0000 7.2940 Co
0.0000 0.0000 3.5421 W
0.0000 0.0000 6.1832 W
2.1185 2.1185 1.3206 W
2.1185 2.1185 8.4048 W

---

Li4AlAg2Sn GGA-PBE optimized geometry; SG = No. 115
1.0
4.5037 0.0000 0.0000
0.0000 4.5037 0.0000
0.0000 0.0000 6.3916
Li Al Ag Sn
4 1 2 1
Cartesian
0.0000 0.0000 0.0000 Li
0.0000 2.2519 1.5496 Li
2.2519 0.0000 4.8419 Li
2.2519 2.2519 3.1958 Li
2.2519 2.2519 0.0000 Al
0.0000 2.2519 4.9178 Ag
2.2519 0.0000 1.4738 Ag
0.0000 0.0000 3.1958 Sn

---

FeCu5Si2 GGA-PBE optimized geometry; SG = No. 123; M_tot = 0.337 μB/atom
1.0
3.9548 0.0000 0.0000
0.0000 3.9548 0.0000
0.0000 0.0000 6.0462
Fe Cu Si
1 5 2
Cartesian
0.0000 0.0000 0.0000 Fe
0.0000 1.9774 1.5383 Cu
0.0000 1.9774 4.5079 Cu
1.9774 0.0000 1.5383 Cu
1.9774 0.0000 4.5079 Cu
1.9774 1.9774 3.0231 Cu
0.0000 0.0000 3.0231 Si
1.9774 1.9774 0.0000 Si

---

Y2Tc GGA-PBE optimized geometry; SG = No. 227; M_tot = 0.334 μB/atom; E above lowest polymorph = 0.177 eV per atom; energy of formation = 1324 meV per atom
1.0
0.0000 5.7615 5.7615
5.7615 0.0000 5.7615
5.7615 5.7615 0.0000
Y Tc
4 2
Cartesian
0.0000 0.0000 0.0000 Y
2.8808 2.8808 0.0000 Y
2.8808 0.0000 2.8808 Y
0.0000 2.8808 2.8808 Y
1.4404 1.4404 1.4404 Tc
10.0827 10.0827 10.0827 Tc

---

LiNbNO GGA-PBE optimized geometry; SG = No. 26; M_tot = 0.001 μB/atom; E above lowest polymorph = 0.314 eV per atom
1.0
3.3686 0.0000 0.0000
0.0000 5.6894 0.0000
0.0000 0.0000 5.1620
Li Nb N O
2 2 2 2
Cartesian
0.0000 0.8199 0.0000 Li
0.0000 4.8695 2.5810 Li
1.6843 2.0041 2.5477 Nb
1.6843 3.6853 5.1287 Nb
0.0000 1.1520 2.0358 N
0.0000 4.5374 4.6168 N
1.6843 1.7354 4.5676 O
1.6843 3.9540 1.9866 O

---

Y3Mg3Ir2Pd GGA-PBE optimized geometry; SG = No. 189; M_tot = 0.001 μB/atom
1.0
7.3763 0.0000 0.0000
-3.6881 6.3881 0.0000
0.0000 0.0000 4.0137
Y Mg Ir Pd
3 3 2 1
Cartesian
-2.1561 3.7344 0.0000 Y
1.5321 2.6537 0.0000 Y
4.3121 0.0000 0.0000 Y
-0.9187 1.5912 2.0069 Mg
1.8374 0.0000 2.0069 Mg
2.7695 4.7968 2.0069 Mg
0.0000 4.2587 2.0069 Ir
3.6882 2.1294 2.0069 Ir
0.0000 0.0000 0.0000 Pd

---

Dy2YNi2B2As3 GGA-PBE optimized geometry; SG = No. 139; M_tot = 0.000 μB/atom
1.0
-2.0106 2.0106 10.9238
2.0106 -2.0106 10.9238
2.0106 2.0106 -10.9238
Dy Y Ni B As
2 1 2 2 3
Cartesian
0.0000 0.0000 3.1073 Dy
0.0000 0.0000 18.7404 Dy
0.0000 0.0000 10.9238 Y
2.0106 0.0000 5.4619 Ni
0.0000 2.0106 5.4619 Ni
0.0000 0.0000 6.0171 B
0.0000 0.0000 15.8306 B
0.0000 0.0000 0.0000 As
0.0000 0.0000 8.1028 As
0.0000 0.0000 13.7449 As

---

Li4Al3Zn GGA-PBE optimized geometry; SG = No. 115
1.0
4.3901 0.0000 0.0000
0.0000 4.3901 0.0000
0.0000 0.0000 6.1976
Li Al Zn
4 3 1
Cartesian
0.0000 0.0000 0.0000 Li
0.0000 2.1950 4.5859 Li
2.1950 0.0000 1.6117 Li
2.1950 2.1950 3.0988 Li
0.0000 2.1950 1.5958 Al
2.1950 0.0000 4.6018 Al
2.1950 2.1950 0.0000 Al
0.0000 0.0000 3.0988 Zn

---

CsTbCu3S4 GGA-PBE optimized geometry; SG = No. 11; M_tot = 0.027 μB/atom
1.0
5.9722 0.0000 0.0000
0.0000 7.5991 0.0000
-2.2070 0.0000 10.0014
Cs Tb Cu S
2 2 6 8
Cartesian
0.4657 1.8998 3.9615 Cs
3.2995 5.6994 6.0399 Cs
-1.1698 1.8998 8.1972 Tb
4.9350 5.6994 1.8042 Tb
1.8562 4.3644 0.1543 Cu
1.8562 7.0343 0.1543 Cu
1.9619 5.6994 2.4866 Cu
1.8033 1.8998 7.5148 Cu
1.9090 0.5649 9.8471 Cu
1.9090 3.2347 9.8471 Cu
-2.0265 5.6994 9.4613 S
0.3532 5.6994 3.9804 S
0.6466 3.8151 8.0528 S
0.6466 7.5837 8.0528 S
3.1186 0.0155 1.9486 S
3.1186 3.7841 1.9486 S
3.4120 1.8998 6.0210 S
5.7917 1.8998 0.5401 S

---

Al2CuPt GGA-PBE optimized geometry; SG = No. 216; M_tot = 0.000 μB/atom
1.0
6.1166 0.0000 0.0000
0.0000 6.1166 0.0000
0.0000 0.0000 6.1166
Al Cu Pt
8 4 4
Cartesian
0.0000 0.0000 0.0000 Al
0.0000 3.0583 3.0583 Al
1.5291 1.5291 1.5291 Al
1.5291 4.5874 4.5874 Al
3.0583 0.0000 3.0583 Al
3.0583 3.0583 0.0000 Al
4.5874 1.5291 4.5874 Al
4.5874 4.5874 1.5291 Al
1.5291 1.5291 4.5874 Cu
1.5291 4.5874 1.5291 Cu
4.5874 1.5291 1.5291 Cu
4.5874 4.5874 4.5874 Cu
0.0000 0.0000 3.0583 Pt
0.0000 3.0583 0.0000 Pt
3.0583 0.0000 0.0000 Pt
3.0583 3.0583 3.0583 Pt

---

Number 1: E_tot -4.876 eV/atom. Number 2: E_tot -8.636 eV/atom. Number 3: E_tot -2.937 eV/atom. Number 4: E_tot -4.677 eV/atom. Number 5: E_tot -6.439 eV/atom. Number 6: E_tot -7.670 eV/atom. Number 7: E_tot -5.905 eV/atom. Number 8: E_tot -6.213 eV/atom. Number 9: E_tot -2.734 eV/atom. Number 10: E_tot -4.507 eV/atom. Number 11: E_tot -4.692 eV/atom.